First-principles (GGA-PBEsol) data for CrIrPb2 after structural relaxation, as listed in Alexandria via LeMat-Bulk.

Cell lengths 3.374, 3.374, 6.902 Å; angles 90.00, 90.00, 90.00 degrees
Space group P4/mmm (No. 123)
Unique sites:
Cr 0.000 0.000 0.000 [1 per cell]
Ir 0.000 0.000 0.500 [1 per cell]
Pb 0.500 0.500 0.263 [2 per cell]

Summary:
Total magnetic moment ... 3.861 μB per cell
Energy relative to the elements ... 642 meV/atom
DFT total energy ... -6.37 eV/atom